one.
Material: Al3CrGa
Method: DFT, PBE
State: relaxed

Cell lengths 5.3598, 7.9854, 7.9855 Å; angles 76.65, 90.00, 90.00 degrees
With the nearest neighbours (Å) after each atom.
Element x y z (fractional)
Ga (0.7500, 0.7369, 0.2631)  2 Ga 2.69, 4 Al 2.78-2.91
Ga (0.2500, 0.7632, 0.2369)  2 Ga 2.69, 4 Al 2.78-2.91
Ga (0.7500, 0.2368, 0.7631)  2 Ga 2.69, 4 Al 2.78-2.91
Ga (0.2500, 0.2631, 0.7369)  2 Ga 2.69, 4 Al 2.78-2.91
Al (0.6604, 0.5949, 0.9050)  3 Al 2.55-2.74, 4 Cr 2.58-2.80
Al (0.8396, 0.0950, 0.4050)  3 Al 2.55-2.74, 4 Cr 2.58-2.80
Al (0.3896, 0.6004, 0.5887)  2 Cr 2.58-2.59, 5 Al 2.65-2.80, 1 Ga 2.78
Al (0.3896, 0.9113, 0.8996)  2 Cr 2.58-2.59, 5 Al 2.65-2.80, 1 Ga 2.78
Al (0.8896, 0.5887, 0.6004)  2 Cr 2.58-2.59, 5 Al 2.65-2.80, 1 Ga 2.78
Al (0.1104, 0.1004, 0.0887)  2 Cr 2.58-2.59, 5 Al 2.65-2.80, 1 Ga 2.78
Al (0.1604, 0.9050, 0.5950)  3 Al 2.55-2.74, 4 Cr 2.58-2.80
Al (0.6104, 0.3996, 0.4113)  2 Cr 2.58-2.59, 5 Al 2.65-2.80, 1 Ga 2.78
Al (0.6104, 0.0887, 0.1004)  2 Cr 2.58-2.59, 5 Al 2.65-2.80, 1 Ga 2.78
Al (0.1104, 0.4113, 0.3996)  2 Cr 2.58-2.59, 5 Al 2.65-2.80, 1 Ga 2.78
Al (0.8896, 0.8996, 0.9113)  2 Cr 2.58-2.59, 5 Al 2.65-2.80, 1 Ga 2.78
Al (0.3396, 0.4051, 0.0950)  3 Al 2.55-2.74, 4 Cr 2.58-2.80
Cr (0.8543, 0.3555, 0.1446)  8 Al 2.58-2.80
Cr (0.3543, 0.1446, 0.3554)  8 Al 2.58-2.80
Cr (0.1457, 0.6445, 0.8554)  8 Al 2.58-2.80
Cr (0.6457, 0.8554, 0.6446)  8 Al 2.58-2.80

## Properties
N(E_F)   2.330 states/eV/f.u.
Magnetization   1.76 μB per formula unit
Volume   16.6 Å³/atom

two.
Material: Al3CrGa
Method: DFT, PBE
State: relaxed

Cell lengths 4.7117, 4.7117, 4.7117 Å; angles 90.00, 90.00, 90.00 degrees
With the nearest neighbours (Å) after each atom.
Element x y z (fractional)
Ga (0.0000, 0.0000, 0.0000)  6 Al 2.36
Al (0.5000, 0.0000, 0.0000)  2 Ga 2.36
Al (0.0000, 0.5000, 0.0000)  2 Ga 2.36
Al (0.0000, 0.0000, 0.5000)  2 Ga 2.36
Cr (0.5000, 0.5000, 0.5000)  12 Al 3.33

## Properties
N(E_F)   6.962 states/eV/f.u.
Magnetization   0.29 μB per formula unit
Volume   20.9 Å³/atom

three.
Material: Al3CrGa
Method: DFT, PBE
State: relaxed

Cell lengths 4.7427, 4.7427, 4.7427 Å; angles 90.00, 90.00, 90.00 degrees
With the nearest neighbours (Å) after each atom.
Element x y z (fractional)
Cr (0.0000, 0.0000, 0.0000)  6 Al 2.37
Ga (0.5000, 0.5000, 0.5000)  12 Al 3.35
Al (0.0000, 0.0000, 0.5000)  2 Cr 2.37
Al (0.0000, 0.5000, 0.0000)  2 Cr 2.37
Al (0.5000, 0.0000, 0.0000)  2 Cr 2.37

## Properties
N(E_F)   6.711 states/eV/f.u.
Magnetization   1.59 μB per formula unit
Volume   21.3 Å³/atom

Which is most stable, and by how much? one, by 402 meV per atom.